Run 1
Density functional theory data (PBE) for an optimized crystal structure of CsHoIr.

a = 6.9187 Å, b = 6.9187 Å, c = 6.9187 Å
α = 90.00°, β = 90.00°, γ = 90.00°
Closest atoms and distances in Å follow each position.
Space group F-43m (No. 216)
Inequivalent atoms, fractional coordinates:
Cs 0.0000 0.0000 0.0000 [4 per cell]  4 Ir 3.00, 4 Ho 3.00
Ho 0.2500 0.2500 0.2500 [4 per cell]  4 Cs 3.00
Ir 0.2500 0.2500 0.7500 [4 per cell]  4 Cs 3.00

---

Run 2
Density functional theory data (PBE) for an optimized crystal structure of CsHoIr.

a = 7.0549 Å, b = 7.0549 Å, c = 7.0549 Å
α = 90.00°, β = 90.00°, γ = 90.00°
Closest atoms and distances in Å follow each position.
Space group F-43m (No. 216)
Inequivalent atoms, fractional coordinates:
Cs 0.0000 0.0000 0.0000 [4 per cell]  4 Ho 3.05
Ho 0.2500 0.2500 0.2500 [4 per cell]  4 Ir 3.05, 4 Cs 3.05
Ir 0.0000 0.0000 0.5000 [4 per cell]  4 Ho 3.05

---

Energy comparison, zero being the most stable, in eV/atom: run 1 0.561; run 2 0.000.

---

Run 1
Density functional theory data (PBE) for an optimized crystal structure of CsHoNiSe3.

a = 11.3299 Å, b = 4.3316 Å, c = 13.2835 Å
α = 90.00°, β = 90.00°, γ = 90.00°
Closest atoms and distances in Å follow each position.
Space group Pnma (No. 62)
Inequivalent atoms, fractional coordinates:
Cs 0.1791 0.2500 0.0081 [4 per cell]  8 Se 3.52-3.89, 3 Ni 3.68-3.88
Ho 0.0021 0.2500 0.6832 [4 per cell]  6 Se 2.85-3.08
Ni 0.2366 0.2500 0.2960 [4 per cell]  4 Se 2.36-2.43
Se 0.0549 0.7500 0.8173 [4 per cell]  1 Ni 2.38
Se 0.0921 0.2500 0.4312 [4 per cell]  1 Ni 2.43
Se 0.2307 0.7500 0.2254 [4 per cell]  2 Ni 2.36

---

Run 2
Density functional theory data (PBE) for an optimized crystal structure of CsHoNiSe3.

a = 10.8666 Å, b = 4.1014 Å, c = 15.6271 Å
α = 90.00°, β = 90.00°, γ = 90.00°
Closest atoms and distances in Å follow each position.
Space group Pnma (No. 62)
Inequivalent atoms, fractional coordinates:
Cs 0.2439 0.2500 0.0108 [4 per cell]  8 Se 3.63-3.94
Ho 0.0007 0.2500 0.7472 [4 per cell]  6 Se 2.82-2.85
Ni 0.2478 0.2500 0.2864 [4 per cell]  4 Se 2.39-2.44
Se 0.0641 0.2500 0.3706 [4 per cell]  1 Ni 2.39
Se 0.0641 0.7500 0.8658 [4 per cell]  1 Ni 2.39
Se 0.2482 0.7500 0.2023 [4 per cell]  2 Ni 2.44

---

Energy comparison, zero being the most stable, in eV/atom: run 1 0.086; run 2 0.000.

---

Run 1
Density functional theory data (PBE) for an optimized crystal structure of CsHoNiSe3.

a = 10.7799 Å, b = 4.1470 Å, c = 15.1201 Å
α = 90.00°, β = 90.00°, γ = 90.00°
Closest atoms and distances in Å follow each position.
Space group Pnma (No. 62)
Inequivalent atoms, fractional coordinates:
Cs 0.0320 0.2500 0.1597 [4 per cell]  8 Se 3.55-3.70
Ho 0.1467 0.7500 0.4360 [4 per cell]  6 Se 2.77-2.97
Ni 0.1511 0.2500 0.6322 [4 per cell]  4 Se 2.32-2.42
Se 0.0388 0.7500 0.6109 [4 per cell]  2 Ni 2.42
Se 0.2099 0.7500 0.0063 [4 per cell]  1 Ni 2.42
Se 0.2365 0.2500 0.7727 [4 per cell]  1 Ni 2.32

---

Run 2
Density functional theory data (PBE) for an optimized crystal structure of CsHoNiSe3.

a = 9.7056 Å, b = 4.0821 Å, c = 10.0718 Å
α = 90.00°, β = 112.34°, γ = 90.00°
Closest atoms and distances in Å follow each position.
Space group P2_1/m (No. 11)
Inequivalent atoms, fractional coordinates:
Cs 0.2146 0.2500 0.2471 [2 per cell]  7 Se 3.60-3.77
Ho 0.3283 0.7500 0.8613 [2 per cell]  6 Se 2.81-2.94
Ni 0.0768 0.2500 0.5967 [2 per cell]  4 Se 2.35-2.42
Se 0.1198 0.2500 0.8497 [2 per cell]  1 Ni 2.42
Se 0.1783 0.7500 0.5472 [2 per cell]  3 Ni 2.35-2.40
Se 0.4754 0.7500 0.1620 [2 per cell]  3 Ho 2.81-2.86

---

Run 3
Density functional theory data (PBE) for an optimized crystal structure of CsHoNiSe3.

a = 16.7268 Å, b = 4.3037 Å, c = 9.2069 Å
α = 90.00°, β = 99.37°, γ = 90.00°
Closest atoms and distances in Å follow each position.
Space group C2/m (No. 12)
Inequivalent atoms, fractional coordinates:
Cs 0.1565 0.0000 0.0646 [4 per cell]  7 Se 3.37-3.60
Ho 0.1643 0.0000 0.5759 [4 per cell]  6 Se 2.72-2.91
Ni 0.0079 0.5000 0.2963 [4 per cell]  2 Se 2.36-2.54
Se 0.0000 0.0000 0.5000 [2 per cell]  2 Ho 2.72, 4 Ni 2.87
Se 0.0000 0.5000 0.0000 [2 per cell]  2 Ni 2.71
Se 0.1348 0.5000 0.7619 [4 per cell]  1 Ni 2.36
Se 0.1612 0.5000 0.3629 [4 per cell]  1 Ni 2.54

---

Run 4
Density functional theory data (PBE) for an optimized crystal structure of CsHoNiSe3.

a = 4.0732 Å, b = 16.1264 Å, c = 10.7610 Å
α = 90.00°, β = 90.00°, γ = 90.00°
Closest atoms and distances in Å follow each position.
Space group Cmcm (No. 63)
Inequivalent atoms, fractional coordinates:
Cs 0.0000 0.2432 0.2500 [4 per cell]  8 Se 3.64-3.97, 2 Cs 4.07
Ho 0.0000 0.5000 0.0000 [4 per cell]  6 Se 2.81-2.85
Ni 0.0000 0.0321 0.7500 [4 per cell]  4 Se 2.40-2.44
Se 0.0000 0.1154 0.5657 [8 per cell]  1 Ni 2.40
Se 0.0000 0.4490 0.7500 [4 per cell]  2 Ni 2.44

---

Energy comparison, zero being the most stable, in eV/atom: run 1 0.108; run 2 0.000; run 3 0.234; run 4 0.016.

---

Run 1
Density functional theory data (PBE) for an optimized crystal structure of CsHoNiTe3.

a = 4.2401 Å, b = 18.3577 Å, c = 10.7221 Å
α = 90.00°, β = 90.00°, γ = 90.00°
Closest atoms and distances in Å follow each position.
Space group Cmcm (No. 63)
Inequivalent atoms, fractional coordinates:
Cs 0.0000 0.2437 0.2500 [4 per cell]  6 Te 3.77-3.86
Ho 0.0000 0.5000 0.0000 [4 per cell]  6 Te 3.00-3.06
Ni 0.0000 0.0102 0.7500 [4 per cell]  4 Te 2.54-2.62
Te 0.0000 0.1094 0.5850 [8 per cell]  1 Ni 2.54
Te 0.0000 0.4263 0.7500 [4 per cell]  2 Ni 2.62

---

Run 2
Density functional theory data (PBE) for an optimized crystal structure of CsHoNiTe3.

a = 17.3560 Å, b = 4.5849 Å, c = 9.9383 Å
α = 90.00°, β = 92.88°, γ = 90.00°
Closest atoms and distances in Å follow each position.
Space group C2/m (No. 12)
Inequivalent atoms, fractional coordinates:
Cs 0.1568 0.0000 0.0851 [4 per cell]  6 Te 3.63-3.84
Ho 0.1623 0.0000 0.5876 [4 per cell]  6 Te 2.91-3.12
Ni 0.0081 0.5000 0.3679 [4 per cell]  4 Te 2.57-2.68, 1 Ni 2.66
Te 0.0000 0.0000 0.5000 [2 per cell]  4 Ni 2.65, 2 Ho 2.91
Te 0.0000 0.5000 0.0000 [2 per cell]  2 Te 3.07
Te 0.1177 0.5000 0.7794 [4 per cell]  1 Ni 2.57
Te 0.1629 0.5000 0.3749 [4 per cell]  1 Ni 2.68

---

Run 3
Density functional theory data (PBE) for an optimized crystal structure of CsHoNiTe3.

a = 12.9992 Å, b = 4.4834 Å, c = 13.6042 Å
α = 90.00°, β = 90.00°, γ = 90.00°
Closest atoms and distances in Å follow each position.
Space group Pnma (No. 62)
Inequivalent atoms, fractional coordinates:
Cs 0.1449 0.2500 0.0020 [4 per cell]  6 Te 3.71-3.87, 2 Ni 3.91
Ho 0.0169 0.7500 0.6454 [4 per cell]  6 Te 3.00-3.12
Ni 0.2233 0.2500 0.7011 [4 per cell]  4 Te 2.51-2.58
Te 0.0808 0.7500 0.2258 [4 per cell]  1 Ni 2.57
Te 0.1297 0.2500 0.5342 [4 per cell]  1 Ni 2.58
Te 0.1991 0.7500 0.7807 [4 per cell]  2 Ni 2.51

---

Run 4
Density functional theory data (PBE) for an optimized crystal structure of CsHoNiTe3.

a = 11.4769 Å, b = 4.3925 Å, c = 16.0581 Å
α = 90.00°, β = 90.00°, γ = 90.00°
Closest atoms and distances in Å follow each position.
Space group Pnma (No. 62)
Inequivalent atoms, fractional coordinates:
Cs 0.0389 0.2500 0.1601 [4 per cell]  8 Te 3.69-3.95
Ho 0.1409 0.7500 0.4393 [4 per cell]  6 Te 3.00-3.14
Ni 0.1485 0.2500 0.6310 [4 per cell]  4 Te 2.51-2.58
Te 0.0382 0.7500 0.6167 [4 per cell]  2 Ni 2.55
Te 0.2076 0.7500 0.0074 [4 per cell]  1 Ni 2.58
Te 0.2329 0.2500 0.7755 [4 per cell]  1 Ni 2.51

---

Energy comparison, zero being the most stable, in eV/atom: run 1 0.000; run 2 0.163; run 3 0.062; run 4 0.082.

---

Run 1
Density functional theory data (PBE) for an optimized crystal structure of CsHoNiTe3.

a = 10.0110 Å, b = 4.3240 Å, c = 10.8267 Å
α = 90.00°, β = 113.33°, γ = 90.00°
Closest atoms and distances in Å follow each position.
Space group P2_1/m (No. 11)
Inequivalent atoms, fractional coordinates:
Cs 0.2269 0.2500 0.2648 [2 per cell]  7 Te 3.76-4.05
Ho 0.3208 0.7500 0.8614 [2 per cell]  6 Te 3.03-3.16
Ni 0.0920 0.2500 0.6216 [2 per cell]  4 Te 2.51-2.54
Te 0.1071 0.2500 0.8608 [2 per cell]  1 Ni 2.53
Te 0.1682 0.7500 0.5443 [2 per cell]  3 Ni 2.51-2.54
Te 0.4747 0.7500 0.1650 [2 per cell]  3 Ho 3.03-3.07

---

Run 2
Density functional theory data (PBE) for an optimized crystal structure of CsHoNiTe3.

a = 11.7585 Å, b = 4.2962 Å, c = 16.0521 Å
α = 90.00°, β = 90.00°, γ = 90.00°
Closest atoms and distances in Å follow each position.
Space group Pnma (No. 62)
Inequivalent atoms, fractional coordinates:
Cs 0.2379 0.2500 0.0140 [4 per cell]  8 Te 3.78-4.19, 2 Ni 4.07
Ho 0.0179 0.7500 0.2552 [4 per cell]  6 Te 2.98-3.07
Ni 0.2501 0.2500 0.2985 [4 per cell]  4 Te 2.56-2.58
Te 0.0542 0.7500 0.8712 [4 per cell]  1 Ni 2.58
Te 0.0658 0.2500 0.3840 [4 per cell]  1 Ni 2.56
Te 0.2355 0.2500 0.7127 [4 per cell]  2 Ni 2.56

---

Energy comparison, zero being the most stable, in eV/atom: run 1 0.000; run 2 0.038.

---

Run 1
Density functional theory data (PBE) for an optimized crystal structure of CsHoSO.

a = 3.7508 Å, b = 3.7508 Å, c = 14.9709 Å
α = 90.00°, β = 90.00°, γ = 120.00°
Closest atoms and distances in Å follow each position.
Space group P-6m2 (No. 187)
Inequivalent atoms, fractional coordinates:
Cs 0.0000 0.0000 0.0000 [1 per cell]  6 O 3.14
Cs 0.3333 0.6667 0.5000 [1 per cell]  6 S 3.36, 6 Cs 3.75
Ho 0.6667 0.3333 0.2215 [2 per cell]  3 O 2.40
S 0.0000 0.0000 0.3284 [2 per cell]  3 Ho 2.69
O 0.3333 0.6667 0.1522 [2 per cell]  3 Ho 2.40

---

Run 2
Density functional theory data (PBE) for an optimized crystal structure of CsHoSO.

a = 8.1930 Å, b = 7.2916 Å, c = 6.6611 Å
α = 90.00°, β = 103.80°, γ = 90.00°
Closest atoms and distances in Å follow each position.
Space group P2_1/c (No. 14)
Inequivalent atoms, fractional coordinates:
Cs 0.0801 0.2395 0.0010 [4 per cell]  2 O 3.03-3.30, 1 S 3.32, 2 Cs 3.33
Ho 0.4814 0.6277 0.2774 [4 per cell]  3 O 2.24-2.29
S 0.2763 0.5974 0.8596 [4 per cell]  3 Ho 2.75-2.90
O 0.4029 0.1439 0.8795 [4 per cell]  3 Ho 2.24-2.29

---

Run 3
Density functional theory data (PBE) for an optimized crystal structure of CsHoSO.

a = 3.7567 Å, b = 3.7567 Å, c = 14.9788 Å
α = 90.00°, β = 90.00°, γ = 120.00°
Closest atoms and distances in Å follow each position.
Space group P-3m1 (No. 164)
Inequivalent atoms, fractional coordinates:
Cs 0.3333 0.6667 0.2224 [2 per cell]  3 O 3.15, 3 S 3.37
Ho 0.0000 0.0000 0.0000 [1 per cell]  6 O 2.41
Ho 0.0000 0.0000 0.5000 [1 per cell]  6 S 2.68
S 0.3333 0.6667 0.6050 [2 per cell]  3 Ho 2.68
O 0.3333 0.6667 0.9298 [2 per cell]  3 Ho 2.41

---

Energy comparison, zero being the most stable, in eV/atom: run 1 0.095; run 2 0.000; run 3 0.101.